Density functional theory data (PBE) for crystalline ReRu at its relaxed geometry.

Results
Magnetization   0.0 μB/f.u.
D(E_F)   0.804 states/eV per atom
Formation energy   -0.131 eV per formula unit
Final energy   -65.6 eV for the cell shown

Lattice parameters (Å, degrees): 7.307 2.743 5.190 74.68 120.39 100.82
Fractional positions:
Re1 0.004 0.997 0.010
Re2 0.719 0.611 0.497
Re3 0.335 0.670 0.996
Ru1 0.665 0.334 0.998
Ru2 0.390 0.944 0.501
Ru3 0.054 0.278 0.498